An optimized crystal structure of PmHoGa2Rh2. Source: Alexandria, functional PBE.

Cell and atoms, written as POSCAR:
```
PmHoGa2Rh2
1.0
4.4076 0.0000 0.0000
-2.2038 3.8171 0.0000
0.0000 0.0000 7.1884
Pm Ho Ga Rh
1 1 2 2
Direct
0.0000 0.0000 0.0000
0.0000 0.0000 0.5000
0.3333 0.6667 0.2665
0.6667 0.3333 0.7335
0.3333 0.6667 0.7228
0.6667 0.3333 0.2772
```

Values from the calculation:
Total DFT energy (no corrections) (eV per cell): -34.94
Total moment (μB per atom): 0.000
Space group: No. 164
Crystal system: trigonal
DOS at the Fermi energy (states/eV per atom): 0.765
DFT formation energy (eV per formula unit): -4.856
Calculated volume (Å³ per cell): 120.9

An optimized crystal structure of PmHoGaSi. Source: Alexandria, functional PBE.

Cell and atoms, written as POSCAR:
```
PmHoGaSi
1.0
3.9904 0.0000 0.0000
0.0000 4.3535 0.0000
0.0000 0.0000 10.8883
Pm Ho Ga Si
2 2 2 2
Direct
0.0000 0.0000 0.0000
0.0000 0.5000 0.5000
0.5000 0.0000 0.7187
0.5000 0.5000 0.2187
0.5000 0.0000 0.4298
0.5000 0.5000 0.9298
0.0000 0.0000 0.2818
0.0000 0.5000 0.7818
```

Values from the calculation:
Total DFT energy (no corrections) (eV per cell): -41.37
E_form (uncorrected) (eV/f.u.): -2.906
Total moment (μB per atom): 0.001
Space group: No. 38
Crystal system: orthorhombic
DOS at the Fermi energy (states/eV per atom): 0.821
Energy above the most stable polymorph in this dataset (eV/f.u.): 0.00
Calculated volume (Å³ per cell): 189.2

An optimized crystal structure of PmHoGaSi. Source: Alexandria, functional PBE.

Cell and atoms, written as POSCAR:
```
PmHoGaSi
1.0
7.1747 0.0000 0.0000
0.0000 7.1747 0.0000
0.0000 0.0000 7.1747
Pm Ho Ga Si
4 4 4 4
Direct
0.0000 0.0000 0.0000
0.0000 0.5000 0.5000
0.5000 0.0000 0.5000
0.5000 0.5000 0.0000
0.0000 0.0000 0.5000
0.0000 0.5000 0.0000
0.5000 0.0000 0.0000
0.5000 0.5000 0.5000
0.2500 0.2500 0.7500
0.2500 0.7500 0.2500
0.7500 0.2500 0.2500
0.7500 0.7500 0.7500
0.2500 0.2500 0.2500
0.2500 0.7500 0.7500
0.7500 0.2500 0.7500
0.7500 0.7500 0.2500
```

Values from the calculation:
Total DFT energy (no corrections) (eV per cell): -78.86
E_form (uncorrected) (eV/f.u.): -1.937
Total moment (μB per atom): 0.000
Space group: No. 216
Crystal system: cubic
DOS at the Fermi energy (states/eV per atom): 0.543
Energy above the most stable polymorph in this dataset (eV/f.u.): 0.97
Calculated volume (Å³ per cell): 369.3